No. 1
# PBE-GGA LiAl4Ga4, relaxed
# DFT formation energy, meV/atom: -34
# Crystal system: tetragonal
data_LiAl4Ga4
_cell_length_a 8.5631
_cell_length_b 8.5631
_cell_length_c 4.1770
_cell_angle_alpha 90.00
_cell_angle_beta 90.00
_cell_angle_gamma 90.00
_space_group_name_H-M_alt 'I 4/m m m'
_space_group_IT_number 139
_space_group_name_Hall '-I 4 2'
loop_
_atom_site_label
_atom_site_type_symbol
_atom_site_fract_x
_atom_site_fract_y
_atom_site_fract_z
Li1 Li 0.0000 0.0000 0.0000
Al1 Al 0.1658 0.1658 0.5000
Ga1 Ga 0.0000 0.3239 0.0000

---

No. 2
# PBE-GGA Li2AlGa3, relaxed
# DFT formation energy, meV/atom: -195
# Crystal system: monoclinic
data_Li2AlGa3
_cell_length_a 7.6508
_cell_length_b 7.5900
_cell_length_c 7.6480
_cell_angle_alpha 90.00
_cell_angle_beta 109.48
_cell_angle_gamma 90.00
_space_group_name_H-M_alt 'C 1 2/c 1'
_space_group_IT_number 15
_space_group_name_Hall '-C 2yc'
loop_
_atom_site_label
_atom_site_type_symbol
_atom_site_fract_x
_atom_site_fract_y
_atom_site_fract_z
Li1 Li 0.1237 0.2422 0.1236
Al1 Al 0.0000 0.4185 0.7500
Ga1 Ga 0.0000 0.0826 0.7500
Ga2 Ga 0.2352 0.4154 0.5164

---

No. 3
# PBE-GGA Li6Al2Ga, relaxed
# DFT formation energy, meV/atom: -4
# Crystal system: trigonal
# Offset from the most stable computed form, meV per atom: 193
data_Li6Al2Ga
_cell_length_a 5.7953
_cell_length_b 5.7953
_cell_length_c 5.1421
_cell_angle_alpha 90.00
_cell_angle_beta 90.00
_cell_angle_gamma 120.00
_space_group_name_H-M_alt 'P -3 m 1'
_space_group_IT_number 164
_space_group_name_Hall '-P 3 2"'
loop_
_atom_site_label
_atom_site_type_symbol
_atom_site_fract_x
_atom_site_fract_y
_atom_site_fract_z
Li1 Li 0.1851 0.3701 0.1808
Al1 Al 0.3333 0.6667 0.6618
Ga1 Ga 0.0000 0.0000 0.5000

---

No. 4
# PBE-GGA Li2AlGa6, relaxed
# DFT formation energy, meV/atom: -116
# Crystal system: monoclinic
# Offset from the most stable computed form, meV per atom: 0
data_Li2AlGa6
_cell_length_a 14.5728
_cell_length_b 7.4081
_cell_length_c 2.9501
_cell_angle_alpha 90.00
_cell_angle_beta 96.26
_cell_angle_gamma 90.00
_space_group_name_H-M_alt 'C 1 2/m 1'
_space_group_IT_number 12
_space_group_name_Hall '-C 2y'
loop_
_atom_site_label
_atom_site_type_symbol
_atom_site_fract_x
_atom_site_fract_y
_atom_site_fract_z
Li1 Li 0.1818 0.0000 0.4538
Al1 Al 0.0000 0.5000 0.0000
Ga1 Ga 0.0000 0.1787 0.5000
Ga2 Ga 0.1645 0.3209 0.9342

---

Number 1: density of states at the Fermi level 0.345 states/eV per atom, energy -58.60 eV per cell. Number 2: density of states at the Fermi level 0.298 states/eV per atom, energy -71.28 eV per cell. Number 3: density of states at the Fermi level 0.353 states/eV per atom, energy -22.03 eV per cell. Number 4: density of states at the Fermi level 0.295 states/eV per atom, energy -53.55 eV per cell.